This record from Alexandria via LeMat-Bulk describes a geometry-optimized BaSbH structure. The functional is GGA-PBE.

## Properties
Space-group type = Pnma
ΔE to the lowest computed polymorph = 29 kJ/mol of formula units

Cell: 8.231 9.169 5.092 Å, 90.00 90.00 90.00°
Fractional positions:
H 0.013 0.250 0.679
H 0.487 0.750 0.179
H 0.987 0.750 0.321
H 0.513 0.250 0.821
Sb 0.661 0.750 0.973
Sb 0.839 0.250 0.473
Sb 0.161 0.750 0.527
Sb 0.339 0.250 0.027
Ba 0.000 0.000 0.000
Ba 0.500 0.000 0.500
Ba 0.000 0.500 0.000
Ba 0.500 0.500 0.500

---

This record from Alexandria via LeMat-Bulk describes a geometry-optimized Pm2ErF8 structure. The functional is GGA-PBE.

## Properties
Uncorrected formation energy = -3.858 eV/atom
Space-group type = C2/m

Cell: 3.804 5.338 8.214 Å, 103.88 103.39 90.00°
Fractional positions:
Pm 0.165 0.663 0.330
Pm 0.835 0.337 0.670
F 0.025 0.793 0.051
F 0.369 0.096 0.738
F 0.238 0.329 0.475
F 0.596 0.389 0.191
F 0.762 0.671 0.525
F 0.975 0.207 0.949
F 0.404 0.611 0.809
F 0.631 0.904 0.262
Er 0.500 0.000 0.000

---

This record from Alexandria via LeMat-Bulk describes a geometry-optimized GeRu3N structure. The functional is GGA-PBE.

## Properties
Uncorrected formation energy = 0.233 eV/atom
Space-group type = Pm-3m
ΔE to the lowest computed polymorph = 0 kJ/mol of formula units

Cell: 4.046 4.046 4.046 Å, 90.00 90.00 90.00°
Fractional positions:
Ru 0.500 0.000 0.000
Ru 0.000 0.500 0.000
Ru 0.000 0.000 0.500
Ge 0.500 0.500 0.500
N 0.000 0.000 0.000

---

This record from Alexandria via LeMat-Bulk describes a geometry-optimized PmDyYTm structure. The functional is GGA-PBE.

## Properties
Space-group type = F-43m
ΔE to the lowest computed polymorph = 39 kJ/mol of formula units
Formation enthalpy at 0 K = 0.123 eV/atom

Cell: 5.682 5.682 5.682 Å, 60.00 60.00 60.00°
Fractional positions:
Tm 0.750 0.750 0.750
Y 0.250 0.250 0.250
Dy 0.500 0.500 0.500
Pm 0.000 0.000 0.000

---

This record from Alexandria via LeMat-Bulk describes a geometry-optimized MnCrSb2 structure. The functional is GGA-PBE.

## Properties
Uncorrected formation energy = 0.343 eV/atom
Space-group type = C2/m
ΔE to the lowest computed polymorph = 121 kJ/mol of formula units

Cell: 6.681 4.886 3.469 Å, 83.08 69.93 124.19°
Last column: magnetic moment on the atom in μB.
Fractional positions:
Sb 0.000 0.000 0.000  -0.10
Sb 0.500 0.000 0.500  -0.10
Cr 0.000 0.500 0.500  3.30
Mn 0.500 0.500 0.000  3.54

---

This record from Alexandria via LeMat-Bulk describes a geometry-optimized ThZn5Rh6 structure. The functional is GGA-PBE.

## Properties
Space-group type = P2/m
Formation enthalpy at 0 K = -0.521 eV/atom

Cell: 4.394 6.322 6.923 Å, 90.00 108.43 90.00°
Fractional positions:
Rh 0.829 0.741 0.657
Rh 0.500 0.730 0.000
Rh 0.500 0.270 0.000
Rh 0.829 0.259 0.657
Rh 0.171 0.741 0.343
Rh 0.171 0.259 0.343
Zn 0.666 0.500 0.332
Zn 0.327 0.000 0.654
Zn 0.673 0.000 0.346
Zn 0.334 0.500 0.668
Zn 0.000 0.500 0.000
Th 0.000 0.000 0.000

---

This record from Alexandria via LeMat-Bulk describes a geometry-optimized Hf7Sb2Se2 structure. The functional is GGA-PBE.

## Properties
Uncorrected formation energy = -0.404 eV/atom
Space-group type = C2/m

Cell: 7.123 6.485 6.485 Å, 110.90 99.67 99.67°
Fractional positions:
Hf 0.179 0.914 0.445
Hf 0.821 0.086 0.555
Hf 0.000 0.000 0.000
Hf 0.821 0.555 0.086
Hf 0.161 0.401 0.401
Hf 0.839 0.599 0.599
Hf 0.179 0.445 0.914
Sb 0.500 0.680 0.320
Sb 0.500 0.320 0.680
Se 0.253 0.794 0.794
Se 0.747 0.206 0.206

---

This record from Alexandria via LeMat-Bulk describes a geometry-optimized Hf2BCl2 structure. The functional is GGA-PBE.

## Properties
Uncorrected formation energy = -1.373 eV/atom
Space-group type = R-3m

Cell: 3.479 3.479 10.114 Å, 80.10 80.10 60.00°
Fractional positions:
Cl 0.233 0.233 0.302
Cl 0.767 0.767 0.698
Hf 0.625 0.625 0.126
Hf 0.375 0.375 0.874
B 0.000 0.000 0.000